Density functional theory data (PBE) for Ce3S after structural relaxation.

Lattice parameters (Å, degrees): 3.600 5.923 5.759 120.94 108.21 90.00
Fractional coordinates of all 4 atoms:
Ce  0.696  0.015  0.392
Ce  0.304  0.623  0.608
Ce  0.500  0.448  0.000
S  0.000  0.080  0.000

Computed properties:
Space group   Imm2
V   98.08 Å³/f.u.
Polymorph energy (0 for the lowest one)   0 meV per atom
ρ   7.66 g/cm3
Formation energy from raw total energies   -768 meV/atom